[1]
VASP calculation (GGA-PBE) on a geometry-optimized Pr3Nd12Er structure. Values from VASP.

Quantum ESPRESSO input file:
```
&SYSTEM
  ibrav = 0, nat = 16, ntyp = 3
/
ATOMIC_SPECIES
Pr 140.91 Pr.upf
Nd 144.24 Nd.upf
Er 167.26 Er.upf
ATOMIC_POSITIONS angstrom
Pr 0.000 0.000 0.000
Pr 0.000 0.000 5.224
Pr 0.000 0.000 15.546
Nd 0.000 2.599 2.610
Nd 0.000 2.599 7.837
Nd 0.000 2.599 12.933
Nd 0.000 2.599 18.161
Nd 2.599 0.000 2.610
Nd 2.599 0.000 7.837
Nd 2.599 0.000 12.933
Nd 2.599 0.000 18.161
Nd 2.599 2.599 0.000
Nd 2.599 2.599 5.233
Nd 2.599 2.599 10.385
Nd 2.599 2.599 15.538
Er 0.000 0.000 10.385
CELL_PARAMETERS angstrom
5.199 0.000 0.000
0.000 5.199 0.000
0.000 0.000 20.770
```

## Properties
SG   No. 123
Final energy   -4.75 eV per atom


[2]
VASP calculation (GGA-PBE) on a geometry-optimized Pr6Nd12Er structure. Values from VASP.

Quantum ESPRESSO input file:
```
&SYSTEM
  ibrav = 0, nat = 19, ntyp = 3
/
ATOMIC_SPECIES
Pr 140.91 Pr.upf
Nd 144.24 Nd.upf
Er 167.26 Er.upf
ATOMIC_POSITIONS angstrom
Pr -6.218 -3.590 4.477
Pr 0.000 -7.180 4.134
Pr -6.218 3.590 4.134
Pr 6.218 -3.590 4.477
Pr 0.000 7.180 4.477
Pr 6.218 3.590 4.134
Nd -3.155 -4.154 2.870
Nd -5.175 -0.656 2.870
Nd 0.000 -3.453 3.032
Nd -2.990 1.726 3.032
Nd 3.155 -4.154 2.870
Nd -2.019 4.809 2.870
Nd -2.990 -1.726 5.579
Nd 2.990 1.726 3.032
Nd 5.175 -0.656 2.870
Nd 2.019 4.809 2.870
Nd 2.990 -1.726 5.579
Nd 0.000 3.453 5.579
Er 0.000 0.000 4.305
CELL_PARAMETERS angstrom
8.330 4.809 2.870
-8.330 4.809 2.870
0.000 -9.618 2.870
```

## Properties
Offset from the most stable computed form   0.1661 eV/atom
SG   No. 166


[3]
VASP calculation (GGA-PBE) on a geometry-optimized Pr3Nd2Er structure. Values from VASP.

Quantum ESPRESSO input file:
```
&SYSTEM
  ibrav = 0, nat = 12, ntyp = 3
/
ATOMIC_SPECIES
Pr 140.91 Pr.upf
Nd 144.24 Nd.upf
Er 167.26 Er.upf
ATOMIC_POSITIONS angstrom
Pr 0.000 0.000 0.000
Pr 1.644 5.789 0.000
Pr 1.776 14.825 1.728
Pr 3.420 9.036 1.728
Pr 5.064 3.247 1.728
Pr 5.196 12.282 0.000
Nd 1.606 2.696 1.728
Nd 1.814 11.732 0.000
Nd 5.026 6.340 0.000
Nd 5.234 15.376 1.728
Er 0.000 9.036 0.000
Er 3.420 0.000 1.728
CELL_PARAMETERS angstrom
6.840 0.000 0.000
0.000 18.072 0.000
0.000 0.000 3.456
```

## Properties
Offset from the most stable computed form   0.1333 eV/atom
SG   No. 58


[4]
VASP calculation (GGA-PBE) on a geometry-optimized Pr5Nd2Er6 structure. Values from VASP.

Quantum ESPRESSO input file:
```
&SYSTEM
  ibrav = 0, nat = 26, ntyp = 3
/
ATOMIC_SPECIES
Pr 140.91 Pr.upf
Nd 144.24 Nd.upf
Er 167.26 Er.upf
ATOMIC_POSITIONS angstrom
Pr 0.000 0.000 0.000
Pr 0.783 6.037 0.000
Pr 2.304 11.826 0.000
Pr 3.552 1.399 0.000
Pr 5.073 16.464 0.000
Pr 5.855 10.427 0.000
Pr 6.638 4.390 0.000
Pr 8.159 19.455 0.000
Pr 9.407 9.028 0.000
Pr 10.928 14.817 0.000
Nd 2.237 15.235 1.806
Nd 3.619 4.808 1.806
Nd 8.092 16.046 1.806
Nd 9.474 5.619 1.806
Er 0.721 2.973 1.806
Er 0.857 9.026 1.806
Er 2.221 18.291 0.000
Er 3.634 7.864 0.000
Er 4.999 19.453 1.806
Er 5.134 13.400 1.806
Er 6.576 7.454 1.806
Er 6.712 1.401 1.806
Er 8.076 12.990 0.000
Er 9.490 2.563 0.000
Er 10.854 11.828 1.806
Er 10.989 17.881 1.806
CELL_PARAMETERS angstrom
11.710 0.000 0.000
0.000 20.854 0.000
0.000 0.000 3.611
```

## Properties
SG   No. 55
Final energy   -4.58 eV per atom


[5]
VASP calculation (GGA-PBE) on a geometry-optimized Pr6Nd16Er7 structure. Values from VASP.

Quantum ESPRESSO input file:
```
&SYSTEM
  ibrav = 0, nat = 29, ntyp = 3
/
ATOMIC_SPECIES
Pr 140.91 Pr.upf
Nd 144.24 Nd.upf
Er 167.26 Er.upf
ATOMIC_POSITIONS angstrom
Pr 8.019 8.019 3.338
Pr 8.019 3.338 8.019
Pr 12.699 8.019 8.019
Pr 3.338 8.019 8.019
Pr 8.019 12.699 8.019
Pr 8.019 8.019 12.699
Nd 9.976 6.061 6.061
Nd 2.469 2.469 2.469
Nd 5.550 5.550 2.469
Nd 5.550 2.469 5.550
Nd 6.061 6.061 6.061
Nd 9.976 9.976 6.061
Nd 9.976 6.061 9.976
Nd 13.568 10.488 10.488
Nd 2.469 5.550 5.550
Nd 6.061 9.976 6.061
Nd 6.061 6.061 9.976
Nd 9.976 9.976 9.976
Nd 10.488 13.568 10.488
Nd 10.488 10.488 13.568
Nd 13.568 13.568 13.568
Nd 6.061 9.976 9.976
Er 4.009 4.009 0.000
Er 4.009 0.000 4.009
Er 8.019 4.009 4.009
Er 0.000 4.009 4.009
Er 4.009 8.019 4.009
Er 4.009 4.009 8.019
Er 8.019 8.019 8.019
CELL_PARAMETERS angstrom
0.000 8.019 8.019
8.019 0.000 8.019
8.019 8.019 0.000
```

## Properties
SG   No. 225
Final energy   -4.52 eV per atom


[6]
VASP calculation (GGA-PBE) on a geometry-optimized PrNd3Er structure. Values from VASP.

Quantum ESPRESSO input file:
```
&SYSTEM
  ibrav = 0, nat = 10, ntyp = 3
/
ATOMIC_SPECIES
Pr 140.91 Pr.upf
Nd 144.24 Nd.upf
Er 167.26 Er.upf
ATOMIC_POSITIONS angstrom
Pr 4.093 4.228 4.668
Pr 4.093 -4.228 1.556
Nd 0.000 0.000 0.000
Nd 0.000 0.000 3.112
Nd 2.471 1.407 4.668
Nd 2.471 -1.407 1.556
Nd 5.715 1.407 4.668
Nd 5.715 -1.407 1.556
Er 4.093 2.331 1.556
Er 4.093 -2.331 4.668
CELL_PARAMETERS angstrom
4.093 -7.077 0.000
4.093 7.077 0.000
0.000 0.000 6.223
```

## Properties
Offset from the most stable computed form   0.3083 eV/atom
SG   No. 63


[7]
VASP calculation (GGA-PBE) on a geometry-optimized Pr5Nd4Er structure. Values from VASP.

Quantum ESPRESSO input file:
```
&SYSTEM
  ibrav = 0, nat = 10, ntyp = 3
/
ATOMIC_SPECIES
Pr 140.91 Pr.upf
Nd 144.24 Nd.upf
Er 167.26 Er.upf
ATOMIC_POSITIONS angstrom
Pr 0.000 0.000 0.000
Pr 0.000 0.000 5.232
Pr 0.000 0.000 10.458
Pr 0.000 0.000 15.447
Pr 0.000 0.000 20.672
Nd 1.848 1.848 2.619
Nd 1.848 1.848 7.850
Nd 1.848 1.848 18.054
Nd 1.848 1.848 23.285
Er 1.848 1.848 12.952
CELL_PARAMETERS angstrom
3.696 0.000 0.000
0.000 3.696 0.000
0.000 0.000 25.905
```

## Properties
Offset from the most stable computed form   0.0045 eV/atom
SG   No. 123


[8]
VASP calculation (GGA-PBE) on a geometry-optimized Pr4NdEr3 structure. Values from VASP.

Quantum ESPRESSO input file:
```
&SYSTEM
  ibrav = 0, nat = 16, ntyp = 3
/
ATOMIC_SPECIES
Pr 140.91 Pr.upf
Nd 144.24 Nd.upf
Er 167.26 Er.upf
ATOMIC_POSITIONS angstrom
Pr 0.000 0.000 0.000
Pr 0.000 3.625 3.623
Pr 2.574 1.799 1.811
Pr 2.574 5.452 5.434
Pr 5.148 0.000 3.623
Pr 5.148 3.625 0.000
Pr 7.722 1.799 1.811
Pr 7.722 5.452 5.434
Nd 0.000 3.625 0.000
Nd 5.148 3.625 3.623
Er 0.000 0.000 3.623
Er 2.574 1.792 5.434
Er 2.574 5.459 1.811
Er 5.148 0.000 0.000
Er 7.722 1.792 5.434
Er 7.722 5.459 1.811
CELL_PARAMETERS angstrom
10.296 0.000 0.000
0.000 7.251 0.000
0.000 0.000 7.245
```

## Properties
Offset from the most stable computed form   0.0000 eV/atom
SG   No. 53


Number 1: V 561.4 Å³ per cell. Number 2: V 689.9 Å³ per cell. Number 3: V 427.3 Å³ per cell. Number 4: V 881.9 Å³ per cell. Number 5: V 1031.2 Å³ per cell. Number 6: V 360.5 Å³ per cell. Number 7: V 353.8 Å³ per cell. Number 8: V 540.9 Å³ per cell.